! Li2CaCu (GGA-PBEsol, optimized geometry); values from VASP
&SYSTEM
  ibrav = 0, nat = 8, ntyp = 3
/
ATOMIC_SPECIES
Li 6.94 Li.upf
Ca 40.08 Ca.upf
Cu 63.55 Cu.upf
CELL_PARAMETERS angstrom
-2.020 2.020 10.270
2.020 -2.020 10.270
2.020 2.020 -10.270
ATOMIC_POSITIONS angstrom
Li 3.030 0.783 -2.567
Li 0.783 1.010 2.567
Li -1.010 1.237 7.702
Li 1.237 1.010 12.837
Ca 2.020 0.000 5.135
Ca 0.000 0.000 10.270
Cu 0.000 0.000 0.000
Cu 0.000 2.020 5.135
! energy above the lowest structure with this stoichiometry: 10.10 kJ/mol of atoms
! total moment: 0.0 μB/f.u.
! E_form: 14 kJ/mol of atoms

=====

! FeRu2Au (GGA-PBEsol, optimized geometry); values from VASP
&SYSTEM
  ibrav = 0, nat = 4, ntyp = 3
/
ATOMIC_SPECIES
Fe 55.84 Fe.upf
Ru 101.07 Ru.upf
Au 196.97 Au.upf
CELL_PARAMETERS angstrom
2.639 -4.561 0.000
2.639 4.561 0.000
-1.235 0.000 2.341
ATOMIC_POSITIONS angstrom
Fe 0.000 0.000 0.000
Ru 0.702 2.281 1.170
Ru 0.702 -2.281 1.170
Au 2.639 0.000 0.000
! energy above the lowest structure with this stoichiometry: 19.19 kJ/mol of atoms
! total moment: 4.0 μB/f.u.
! E_form: 48 kJ/mol of atoms

=====

! Mg2CrTe (GGA-PBEsol, optimized geometry); values from VASP
&SYSTEM
  ibrav = 0, nat = 4, ntyp = 3
/
ATOMIC_SPECIES
Mg 24.30 Mg.upf
Cr 52.00 Cr.upf
Te 127.60 Te.upf
CELL_PARAMETERS angstrom
3.737 0.000 0.000
0.000 3.737 0.000
0.000 0.000 6.005
ATOMIC_POSITIONS angstrom
Mg 0.000 0.000 0.000
Mg 1.868 1.868 1.524
Cr 1.868 1.868 4.563
Te 0.000 0.000 3.166
! total moment: 3.9 μB/f.u.
! energy: -4.180 eV per atom

=====

! KNa2SrBe (GGA-PBEsol, optimized geometry); values from VASP
&SYSTEM
  ibrav = 0, nat = 5, ntyp = 4
/
ATOMIC_SPECIES
K 39.10 K.upf
Na 22.99 Na.upf
Sr 87.62 Sr.upf
Be 9.01 Be.upf
CELL_PARAMETERS angstrom
5.751 0.000 0.000
0.000 5.751 0.000
0.000 0.000 6.076
ATOMIC_POSITIONS angstrom
K 0.000 0.000 0.000
Na 0.000 2.875 3.038
Na 2.875 0.000 3.038
Sr 2.875 2.875 0.000
Be 0.000 0.000 3.038
! total moment: 0.0 μB/f.u.
! E_form: 54 kJ/mol of atoms

=====

! KMoIO6 (GGA-PBEsol, optimized geometry); values from VASP
&SYSTEM
  ibrav = 0, nat = 72, ntyp = 4
/
ATOMIC_SPECIES
K 39.10 K.upf
Mo 95.94 Mo.upf
I 126.90 I.upf
O 16.00 O.upf
CELL_PARAMETERS angstrom
7.306 0.000 0.000
0.000 19.359 0.000
0.000 0.000 7.740
ATOMIC_POSITIONS angstrom
K 1.190 1.386 1.459
K 1.190 8.294 5.329
K 2.464 11.065 1.459
K 2.464 17.973 5.329
K 4.843 1.386 2.411
K 4.843 8.294 6.281
K 6.117 11.065 2.411
K 6.117 17.973 6.281
Mo 0.584 2.058 5.556
Mo 0.584 7.622 1.686
Mo 3.070 11.737 5.556
Mo 3.070 17.301 1.686
Mo 4.237 2.058 6.054
Mo 4.237 7.622 2.184
Mo 6.723 11.737 6.054
Mo 6.723 17.301 2.184
I 0.604 14.038 3.896
I 0.604 14.999 0.026
I 3.049 4.359 3.896
I 3.049 5.320 0.026
I 4.257 14.038 7.714
I 4.257 14.999 3.844
I 6.702 4.359 7.714
I 6.702 5.320 3.844
O 0.046 1.488 4.036
O 0.046 8.191 0.166
O 0.406 4.075 4.767
O 0.406 5.605 0.897
O 0.804 0.609 6.470
O 0.804 9.070 2.600
O 0.955 3.407 7.279
O 0.955 6.272 3.409
O 1.089 13.088 2.451
O 1.089 15.950 6.321
O 1.230 12.113 5.267
O 1.230 16.925 1.397
O 2.423 2.433 5.267
O 2.423 7.246 1.397
O 2.565 3.409 2.451
O 2.565 6.270 6.321
O 2.698 13.087 7.279
O 2.698 15.951 3.409
O 2.849 10.288 6.470
O 2.849 18.750 2.600
O 3.247 13.754 4.767
O 3.247 15.284 0.897
O 3.607 11.167 4.036
O 3.607 17.871 0.166
O 3.700 1.488 7.574
O 3.700 8.191 3.704
O 4.059 4.075 6.843
O 4.059 5.605 2.973
O 4.457 0.609 5.140
O 4.457 9.070 1.270
O 4.608 3.407 4.331
O 4.608 6.272 0.461
O 4.742 13.088 1.419
O 4.742 15.950 5.289
O 4.883 12.113 6.343
O 4.883 16.925 2.473
O 6.077 2.433 6.343
O 6.077 7.246 2.473
O 6.218 3.409 1.419
O 6.218 6.270 5.289
O 6.351 13.087 4.331
O 6.351 15.951 0.461
O 6.502 10.288 5.140
O 6.502 18.750 1.270
O 6.901 13.754 6.843
O 6.901 15.284 2.973
O 7.260 11.167 7.574
O 7.260 17.871 3.704
! energy above the lowest structure with this stoichiometry: 1.12 kJ/mol of atoms
! total moment: 0.0 μB/f.u.

=====

! Pr2CuIr (GGA-PBEsol, optimized geometry); values from VASP
&SYSTEM
  ibrav = 0, nat = 4, ntyp = 3
/
ATOMIC_SPECIES
Pr 140.91 Pr.upf
Cu 63.55 Cu.upf
Ir 192.22 Ir.upf
CELL_PARAMETERS angstrom
0.000 3.529 3.529
3.529 0.000 3.529
3.529 3.529 0.000
ATOMIC_POSITIONS angstrom
Pr 1.765 1.765 1.765
Pr 5.294 5.294 5.294
Cu 0.000 0.000 0.000
Ir 3.529 3.529 3.529
! total moment: 0.0 μB/f.u.
! E_form: -32 kJ/mol of atoms

=====

| no. | DOS(E_F) (states/eV per cell) |
| --- | --- |
| 1 | 3.73 |
| 2 | 5.08 |
| 3 | 1.43 |
| 4 | 3.67 |
| 5 | 0.00 |
| 6 | 2.97 |